# 1
PmTmMg17: optimized geometry, PBE.

Cell and atoms, written as extended XYZ:
```
19
Lattice="5.1123 2.9516 5.0766 -5.1123 2.9516 5.0766 0.0000 -5.9032 5.0766" Properties=species:S:1:pos:R:3 pbc="T T T"
Pm 0.0000 0.0000 0.0000
Tm 0.0000 0.0000 10.0216
Mg -1.5678 -2.6782 5.0207
Mg -3.1033 -0.0186 5.0207
Mg -2.6017 -1.5021 7.8016
Mg 0.0000 0.0000 3.5335
Mg 0.0000 -2.9876 7.5394
Mg -2.5873 1.4938 7.5394
Mg 1.5678 -2.6782 5.0207
Mg -1.5355 2.6968 5.0207
Mg 0.0000 0.0000 6.5630
Mg -2.4633 -1.4222 12.4042
Mg 3.1033 -0.0186 5.0207
Mg 1.5355 2.6968 5.0207
Mg 2.6017 -1.5021 7.8016
Mg 0.0000 3.0042 7.8016
Mg 2.5873 1.4938 7.5394
Mg 2.4633 -1.4222 12.4042
Mg 0.0000 2.8444 12.4042
```

***

# 2
Pm8Tm4Mg: optimized geometry, PBE.

Cell and atoms, written as extended XYZ:
```
13
Lattice="3.5616 2.0563 9.9776 -3.5616 2.0563 9.9776 0.0000 -4.1125 9.9776" Properties=species:S:1:pos:R:3 pbc="T T T"
Pm 0.0000 0.0000 6.6214
Pm -1.8285 -1.0557 17.1795
Pm 0.0000 -2.1114 12.7534
Pm -1.8285 1.0557 12.7534
Pm 1.8285 -1.0557 17.1795
Pm 0.0000 2.1114 17.1795
Pm 1.8285 1.0557 12.7534
Pm 0.0000 0.0000 23.3115
Tm 0.0000 0.0000 0.0000
Tm -1.7808 -1.0281 9.9776
Tm -1.7808 1.0281 19.9553
Tm 0.0000 2.0563 9.9776
Mg 0.0000 0.0000 14.9665
```

***

# 3
PmTmMg3: optimized geometry, PBE.

Cell and atoms, written as extended XYZ:
```
20
Lattice="11.2786 -7.3465 0.0000 11.2786 7.3465 0.0000 -0.5141 0.0000 3.5028" Properties=species:S:1:pos:R:3 pbc="T T T"
Pm 5.5813 1.5831 0.0611
Pm 5.3242 -1.5831 1.8125
Pm 16.7189 1.5831 1.6903
Pm 16.4619 -1.5831 3.4417
Tm 10.8931 4.4186 2.6271
Tm 11.1501 1.4741 0.8757
Tm 10.8931 -1.4741 2.6271
Tm 11.1501 -4.4186 0.8757
Mg 2.5712 1.1710 1.3847
Mg 8.4497 3.6175 0.4514
Mg 2.3142 -1.1710 3.1361
Mg 8.1823 1.1689 2.2225
Mg 13.8505 3.6175 1.3000
Mg 8.4394 -1.1689 0.4711
Mg 13.6038 1.1689 3.0316
Mg 8.1927 -3.6175 2.2027
Mg 13.8608 -1.1689 1.2802
Mg 19.7290 1.1710 0.3667
Mg 13.5935 -3.6175 3.0514
Mg 19.4720 -1.1710 2.1180
```

- energy above the lowest structure with this stoichiometry (eV/f.u.) = 0.000

***

# 4
Pm5Tm2Mg5: optimized geometry, PBE.

Cell and atoms, written as extended XYZ:
```
12
Lattice="7.8337 -1.7560 0.0000 7.8337 1.7560 0.0000 -4.6816 0.0000 13.1981" Properties=species:S:1:pos:R:3 pbc="T T T"
Pm 0.0000 0.0000 0.0000
Pm 2.9023 0.0000 7.3500
Pm 5.8899 0.0000 2.6018
Pm 5.0960 0.0000 10.5963
Pm 8.0836 0.0000 5.8481
Tm -0.2098 0.0000 8.9039
Tm 11.1957 0.0000 4.2942
Mg -2.3408 0.0000 6.5991
Mg 0.9853 0.0000 3.0395
Mg 0.1411 0.0000 12.2141
Mg 10.8448 0.0000 0.9840
Mg 10.0006 0.0000 10.1586
```

***

# 5
Pm8Tm2Mg: optimized geometry, PBE.

Cell and atoms, written as extended XYZ:
```
11
Lattice="5.9480 -5.6980 0.0000 5.9480 5.6980 0.0000 -1.3911 0.0000 5.8206" Properties=species:S:1:pos:R:3 pbc="T T T"
Pm 0.5532 0.0000 1.6977
Pm 4.3920 2.7259 1.2717
Pm 1.4566 0.0000 5.2896
Pm 6.1130 2.7259 4.5490
Pm 4.3920 -2.7259 1.2717
Pm 9.0484 0.0000 0.5310
Pm 6.1130 -2.7259 4.5490
Pm 9.9518 0.0000 4.1229
Tm 3.6553 0.0000 2.9651
Tm 6.8497 0.0000 2.8555
Mg 5.9480 0.0000 0.0000
```

- energy above the lowest structure with this stoichiometry (eV/f.u.) = 2.598

***

# 6
Pm2TmMg6: optimized geometry, PBE.

Cell and atoms, written as extended XYZ:
```
9
Lattice="9.1327 0.0000 0.0000 -4.5664 7.9092 0.0000 0.0000 0.0000 3.3044" Properties=species:S:1:pos:R:3 pbc="T T T"
Pm 0.0000 5.2728 0.0000
Pm 4.5664 2.6364 0.0000
Tm 0.0000 0.0000 0.0000
Mg -1.5038 2.6047 1.6522
Mg -3.0625 5.3045 1.6522
Mg 3.0077 0.0000 1.6522
Mg 1.5038 2.6047 1.6522
Mg 6.1251 0.0000 1.6522
Mg 3.0625 5.3045 1.6522
```

***

# 7
Pm5TmMg3: optimized geometry, PBE.

Cell and atoms, written as extended XYZ:
```
18
Lattice="9.5366 0.0000 0.0000 -4.7683 8.2590 0.0000 0.0000 0.0000 6.9999" Properties=species:S:1:pos:R:3 pbc="T T T"
Pm -1.5747 2.7274 1.7500
Pm -3.1936 5.5315 5.2499
Pm 3.1494 0.0000 1.7500
Pm 1.5747 2.7274 5.2499
Pm 0.0000 5.5060 0.0000
Pm 0.0000 5.5060 3.5000
Pm 4.7683 2.7530 0.0000
Pm 4.7683 2.7530 3.5000
Pm 6.3872 0.0000 5.2499
Pm 3.1936 5.5315 1.7500
Tm 0.0000 0.0000 0.0000
Tm 0.0000 0.0000 3.5000
Mg -1.5795 2.7358 5.2499
Mg -3.1888 5.5232 1.7500
Mg 3.1590 0.0000 5.2499
Mg 1.5795 2.7358 1.7500
Mg 6.3776 0.0000 1.7500
Mg 3.1888 5.5232 5.2499
```

***

# 8
Pm15Tm4Mg: optimized geometry, PBE.

Cell and atoms, written as extended XYZ:
```
20
Lattice="5.0817 0.0000 0.0000 0.0000 5.0817 0.0000 0.0000 0.0000 25.4813" Properties=species:S:1:pos:R:3 pbc="T T T"
Pm 0.0000 0.0000 0.0000
Pm 0.0000 0.0000 5.0326
Pm 0.0000 0.0000 10.1712
Pm 0.0000 0.0000 15.3101
Pm 0.0000 0.0000 20.4487
Pm 0.0000 2.5408 2.5128
Pm 0.0000 2.5408 7.6175
Pm 0.0000 2.5408 12.7406
Pm 0.0000 2.5408 17.8638
Pm 0.0000 2.5408 22.9685
Pm 2.5408 0.0000 2.5128
Pm 2.5408 0.0000 7.6175
Pm 2.5408 0.0000 12.7406
Pm 2.5408 0.0000 17.8638
Pm 2.5408 0.0000 22.9685
Tm 2.5408 2.5408 5.0491
Tm 2.5408 2.5408 10.1778
Tm 2.5408 2.5408 15.3035
Tm 2.5408 2.5408 20.4322
Mg 2.5408 2.5408 0.0000
```

***

Number 1: DFT formation energy -0.02 eV per atom, total DFT energy (no corrections) -36.699 eV for the cell shown. Number 2: DFT formation energy 0.17 eV per atom, total DFT energy (no corrections) -55.223 eV for the cell shown. Number 3: DFT formation energy 0.13 eV per atom, total DFT energy (no corrections) -53.398 eV for the cell shown. Number 4: DFT formation energy 0.08 eV per atom, total DFT energy (no corrections) -39.720 eV for the cell shown. Number 5: DFT formation energy 0.38 eV per atom, total DFT energy (no corrections) -44.320 eV for the cell shown. Number 6: DFT formation energy -0.08 eV per atom, total DFT energy (no corrections) -24.292 eV for the cell shown. Number 7: DFT formation energy 0.00 eV per atom, total DFT energy (no corrections) -66.092 eV for the cell shown. Number 8: DFT formation energy 0.01 eV per atom, total DFT energy (no corrections) -90.541 eV for the cell shown.